Cs2BaSi2 | the Alexandria database | PBE-GGA | optimized geometry; calculated density = 3.27 g/cm3; formation energy without anion corrections = 3.76 eV per formula unit; D(E_F) = 6.28 states/eV/cell; offset from the most stable computed form = 634 meV/atom
1.0
-3.647 0.418 5.052
1.092 -6.013 1.285
3.462 -1.233 6.460
Cs Si Ba
2 2 1
Cartesian
0.066 -2.354 4.102
0.841 -4.474 8.696
-0.731 -1.806 7.340
1.638 -5.022 5.457
0.000 0.000 0.000